[1]
The following is a PBE calculation of an optimized crystal structure of NaAg2HgH, from the Alexandria database.

Cell: 4.228 4.228 4.707 Å, 90.00 90.00 90.00°
Fractional coordinates of all 5 atoms:
Ag (0.000, 0.500, 0.000)
Ag (0.500, 0.000, 0.000)
Hg (0.500, 0.500, 0.500)
H (0.000, 0.000, 0.000)
Na (0.000, 0.000, 0.500)

## Properties
E	-2.053	eV per atom
space-group type	No. 123


[2]
The following is a PBE calculation of an optimized crystal structure of Na2AgHgH, from the Alexandria database.

Cell: 4.574 4.574 4.562 Å, 90.00 90.00 90.00°
Fractional coordinates of all 5 atoms:
Na (0.000, 0.500, 0.000)
Na (0.500, 0.000, 0.000)
Hg (0.000, 0.000, 0.500)
Ag (0.500, 0.500, 0.500)
H (0.000, 0.000, 0.000)

## Properties
energy above the most stable polymorph in this dataset	69	meV per atom
E	-1.812	eV per atom
space-group type	No. 123


[3]
The following is a PBE calculation of an optimized crystal structure of Ni2AgHgH, from the Alexandria database.

Cell: 3.938 3.938 4.027 Å, 90.00 90.00 90.00°
Fractional coordinates of all 5 atoms:
Ni (0.000, 0.500, 0.000)
Ni (0.500, 0.000, 0.000)
Ag (0.000, 0.000, 0.500)
H (0.000, 0.000, 0.000)
Hg (0.500, 0.500, 0.500)

## Properties
E	-3.431	eV per atom
space-group type	No. 123


[4]
The following is a PBE calculation of an optimized crystal structure of AgHgP2H, from the Alexandria database.

Cell: 4.817 5.637 4.817 Å, 90.00 90.00 90.00°
Fractional coordinates of all 5 atoms:
P (0.500, 0.000, 0.000)
P (0.000, 0.000, 0.500)
Hg (0.000, 0.500, 0.000)
H (0.500, 0.500, 0.500)
Ag (0.000, 0.000, 0.000)

## Properties
E	-2.129	eV per atom
space-group type	No. 123


[5]
The following is a PBE calculation of an optimized crystal structure of AgHgHPb2, from the Alexandria database.

Cell: 5.544 5.544 3.644 Å, 90.00 90.00 90.00°
Fractional coordinates of all 5 atoms:
Hg (0.500, 0.500, 0.500)
H (0.000, 0.000, 0.000)
Pb (0.500, 0.000, 0.000)
Pb (0.000, 0.500, 0.000)
Ag (0.000, 0.000, 0.500)

## Properties
energy above the most stable polymorph in this dataset	0	meV per atom
E	-2.595	eV per atom
space-group type	No. 123


[6]
The following is a PBE calculation of an optimized crystal structure of AgHgHPb2, from the Alexandria database.

Cell: 5.833 5.833 3.454 Å, 90.00 90.00 90.00°
Fractional coordinates of all 5 atoms:
Ag (0.000, 0.000, 0.000)
Pb (0.500, 0.000, 0.000)
Pb (0.000, 0.500, 0.000)
Hg (0.500, 0.500, 0.500)
H (0.000, 0.000, 0.500)

## Properties
energy above the most stable polymorph in this dataset	38	meV per atom
E	-2.557	eV per atom
space-group type	No. 123


[7]
The following is a PBE calculation of an optimized crystal structure of AgHgHPd2, from the Alexandria database.

Cell: 4.059 4.059 4.377 Å, 90.00 90.00 90.00°
Fractional coordinates of all 5 atoms:
Pd (0.500, 0.000, 0.000)
Pd (0.000, 0.500, 0.000)
Hg (0.000, 0.000, 0.500)
Ag (0.500, 0.500, 0.500)
H (0.000, 0.000, 0.000)

## Properties
energy above the most stable polymorph in this dataset	125	meV per atom
E	-3.373	eV per atom
space-group type	No. 123


[8]
The following is a PBE calculation of an optimized crystal structure of AgHg3H2Pd9, from the Alexandria database.

Cell: 5.675 5.675 9.000 Å, 90.00 90.00 120.00°
Fractional coordinates of all 15 atoms:
Pd (0.500, 0.500, 0.000)
Pd (0.500, 0.000, 0.000)
Pd (0.168, 0.832, 0.261)
Pd (0.000, 0.500, 0.000)
Pd (0.832, 0.168, 0.739)
Pd (0.663, 0.832, 0.261)
Pd (0.832, 0.663, 0.739)
Pd (0.168, 0.337, 0.261)
Pd (0.337, 0.168, 0.739)
H (0.667, 0.333, 0.869)
H (0.333, 0.667, 0.131)
Hg (0.333, 0.667, 0.701)
Hg (0.000, 0.000, 0.000)
Hg (0.667, 0.333, 0.299)
Ag (0.000, 0.000, 0.500)

## Properties
E	-3.813	eV per atom
space-group type	No. 164


What did the third record say?
The following is a PBE calculation of an optimized crystal structure of Ni2AgHgH, from the Alexandria database.

Cell: 3.938 3.938 4.027 Å, 90.00 90.00 90.00°
Fractional coordinates of all 5 atoms:
Ni (0.000, 0.500, 0.000)
Ni (0.500, 0.000, 0.000)
Ag (0.000, 0.000, 0.500)
H (0.000, 0.000, 0.000)
Hg (0.500, 0.500, 0.500)

## Properties
E	-3.431	eV per atom
space-group type	No. 123


What did the fifth record say?
The following is a PBE calculation of an optimized crystal structure of AgHgHPb2, from the Alexandria database.

Cell: 5.544 5.544 3.644 Å, 90.00 90.00 90.00°
Fractional coordinates of all 5 atoms:
Hg (0.500, 0.500, 0.500)
H (0.000, 0.000, 0.000)
Pb (0.500, 0.000, 0.000)
Pb (0.000, 0.500, 0.000)
Ag (0.000, 0.000, 0.500)

## Properties
energy above the most stable polymorph in this dataset	0	meV per atom
E	-2.595	eV per atom
space-group type	No. 123


What is the E in the fourth record? -2.129 eV per atom